Entry 1:
This record from the Alexandria database describes a relaxed structure of Tm4TlPSe2. The functional is GGA-PBE. Values from VASP.

The structure in Quantum ESPRESSO input format:
```
&SYSTEM
  ibrav = 0, nat = 8, ntyp = 4
/
ATOMIC_SPECIES
Tm 168.93 Tm.upf
Se 78.96 Se.upf
P 30.97 P.upf
Tl 204.38 Tl.upf
CELL_PARAMETERS angstrom
3.989 0.000 0.000
0.000 7.131 -0.191
0.000 2.465 6.764
ATOMIC_POSITIONS angstrom
Tm 1.994 5.900 1.661
Tm 1.994 3.697 4.912
Tm 3.989 2.425 1.743
Tm 0.000 7.172 4.830
Se 1.994 1.233 3.382
Se 0.000 2.465 6.764
P 0.000 4.798 3.287
Tl 1.994 6.031 6.669
```

D(E_F)	3.2	states/eV/cell
formation energy from raw total energies	-1.280	eV per atom
total moment	0.0	Bohr magnetons per cell

Entry 2:
This record from the Alexandria database describes a relaxed structure of LuSbH. The functional is GGA-PBE. Values from VASP.

The structure in Quantum ESPRESSO input format:
```
&SYSTEM
  ibrav = 0, nat = 3, ntyp = 3
/
ATOMIC_SPECIES
H 1.01 H.upf
Lu 174.97 Lu.upf
Sb 121.76 Sb.upf
CELL_PARAMETERS angstrom
4.326 0.000 0.000
0.000 4.326 0.000
-2.163 -2.163 3.584
ATOMIC_POSITIONS angstrom
H 2.163 2.163 3.579
Lu 2.163 2.163 1.566
Sb 0.000 0.000 2.022
```

ΔE to the lowest computed polymorph	0.504	eV/atom
D(E_F)	0.9	states/eV/cell
total moment	0.0	Bohr magnetons per cell

Entry 3:
This record from the Alexandria database describes a relaxed structure of Pm3Te2Pb. The functional is GGA-PBE. Values from VASP.

The structure in Quantum ESPRESSO input format:
```
&SYSTEM
  ibrav = 0, nat = 12, ntyp = 3
/
ATOMIC_SPECIES
Te 127.60 Te.upf
Pm 145.00 Pm.upf
Pb 207.20 Pb.upf
CELL_PARAMETERS angstrom
-2.153 3.867 0.920
-4.357 -1.374 -4.419
-7.424 -6.344 9.292
ATOMIC_POSITIONS angstrom
Te -3.561 -2.455 1.987
Te -6.043 -4.576 5.094
Te -5.584 -0.157 -1.300
Te -10.526 -4.380 4.885
Pm -5.877 -1.582 4.002
Pm -3.379 0.552 0.876
Pm -3.268 -1.031 -3.315
Pm -8.374 -3.716 7.128
Pm -8.195 -5.240 2.851
Pm -5.766 -3.165 -0.189
Pb -1.090 -0.344 -1.105
Pb -8.055 -2.269 1.792
```

ΔE to the lowest computed polymorph	0.002	eV/atom
D(E_F)	4.6	states/eV/cell
formation energy from raw total energies	-1.182	eV per atom
total moment	0.0	Bohr magnetons per cell

Entry 4:
This record from the Alexandria database describes a relaxed structure of La2Tb4Ho3. The functional is GGA-PBE. Values from VASP.

The structure in Quantum ESPRESSO input format:
```
&SYSTEM
  ibrav = 0, nat = 9, ntyp = 3
/
ATOMIC_SPECIES
La 138.91 La.upf
Ho 164.93 Ho.upf
Tb 158.93 Tb.upf
CELL_PARAMETERS angstrom
5.490 0.000 2.762
2.745 6.210 1.381
-0.833 0.000 8.512
ATOMIC_POSITIONS angstrom
La 2.727 0.000 8.252
La 1.931 0.000 3.022
Ho 4.118 3.105 2.072
Ho 1.373 3.105 0.691
Ho 0.000 0.000 0.000
Tb 4.148 1.794 5.439
Tb 6.894 4.416 6.820
Tb 0.509 1.794 5.835
Tb 3.254 4.416 7.216
```

ΔE to the lowest computed polymorph	0.127	eV/atom
D(E_F)	17.6	states/eV/cell
total moment	0.0	Bohr magnetons per cell
DFT formation energy	0.18	eV per atom

Entry 5:
This record from the Alexandria database describes a relaxed structure of GdPuZnPd. The functional is GGA-PBE. Values from VASP.

The structure in Quantum ESPRESSO input format:
```
&SYSTEM
  ibrav = 0, nat = 4, ntyp = 4
/
ATOMIC_SPECIES
Pd 106.42 Pd.upf
Pu 244.00 Pu.upf
Gd 157.25 Gd.upf
Zn 65.41 Zn.upf
CELL_PARAMETERS angstrom
5.047 0.000 0.000
2.523 4.371 0.000
2.523 1.457 4.121
ATOMIC_POSITIONS angstrom
Pd 2.523 1.457 1.030
Pu 0.000 0.000 0.000
Gd 5.047 2.914 2.060
Zn 7.570 4.371 3.091
```

D(E_F)	10.0	states/eV/cell
total moment	12.7	Bohr magnetons per cell
DFT formation energy	-0.35	eV per atom

Entry 6:
This record from the Alexandria database describes a relaxed structure of LiThZnGe. The functional is GGA-PBE. Values from VASP.

The structure in Quantum ESPRESSO input format:
```
&SYSTEM
  ibrav = 0, nat = 4, ntyp = 4
/
ATOMIC_SPECIES
Li 6.94 Li.upf
Zn 65.41 Zn.upf
Th 232.04 Th.upf
Ge 72.64 Ge.upf
CELL_PARAMETERS angstrom
4.935 0.000 0.000
2.468 4.274 0.000
2.468 1.425 4.030
ATOMIC_POSITIONS angstrom
Li 4.935 2.849 2.015
Zn 7.403 4.274 3.022
Th 0.000 0.000 0.000
Ge 2.468 1.425 1.007
```

D(E_F)	3.5	states/eV/cell
total moment	0.0	Bohr magnetons per cell
DFT formation energy	-0.31	eV per atom